[1]
VASP calculation (GGA-PBE) on crystalline ThNpNi10 at its relaxed geometry.

Summary:
SG = Pmmm (47)

Unit cell a=3.9759 b=4.8944 c=8.4933 alpha=90.00 beta=90.00 gamma=90.00
Site moments in Bohr magnetons follow the coordinates.
Atoms (fractional coordinates):
Ni 0.5000 0.5000 0.0000  0.28
Np 0.0000 0.5000 0.5000  -3.41
Ni 0.0000 0.0000 0.3386  0.32
Ni 0.5000 0.7477 0.2540  0.32
Ni 0.5000 0.7477 0.7460  0.32
Ni 0.0000 0.5000 0.8269  0.23
Ni 0.5000 0.2523 0.7460  0.32
Th 0.0000 0.0000 0.0000  -0.12
Ni 0.0000 0.5000 0.1731  0.23
Ni 0.0000 0.0000 0.6614  0.32
Ni 0.5000 0.0000 0.5000  0.38
Ni 0.5000 0.2523 0.2540  0.32


[2]
VASP calculation (GGA-PBE) on crystalline NpTiNi14 at its relaxed geometry.

Summary:
SG = P4/mmm (123)

Unit cell a=5.1630 b=5.1630 c=7.0626 alpha=90.00 beta=90.00 gamma=90.00
Site moments in Bohr magnetons follow the coordinates.
Atoms (fractional coordinates):
Ni 0.8750 0.3750 0.0000  -0.39
Ni 0.6277 0.6277 0.7577  -0.20
Np 0.3750 0.3750 0.5000  1.82
Ni 0.3750 0.8750 0.5000  -0.07
Ti 0.8750 0.8750 0.5000  0.05
Ni 0.6278 0.1222 0.2422  -0.20
Ni 0.3750 0.3750 0.0000  -0.46
Ni 0.8750 0.3750 0.5000  -0.07
Ni 0.1223 0.1223 0.2423  -0.20
Ni 0.1223 0.1223 0.7577  -0.20
Ni 0.1222 0.6278 0.7578  -0.20
Ni 0.1222 0.6278 0.2422  -0.20
Ni 0.3750 0.8750 0.0000  -0.39
Ni 0.8750 0.8750 0.0000  -0.53
Ni 0.6277 0.6277 0.2423  -0.20
Ni 0.6278 0.1222 0.7578  -0.20


E for every record listed, in sequence, given in eV/atom: -6.78; -6.47.
Size of the total moment for every record listed, in sequence, given in μB/f.u.: 1.0; 1.5.